ScIr3Ru | the Alexandria database | PBE | optimized geometry; symmetry = Pm-3m; Fermi-level density of states = 5.26 states/eV/cell; formation energy = 1098.0 meV/atom; VASP energy = -0.5395 Ry per atom; total magnetic moment = 0.00 μB/f.u.; excess energy over the best structure of this formula in the dataset = 0 meV/atom
1.0
4.6933 0.0000 0.0000
0.0000 4.6933 0.0000
0.0000 0.0000 4.6933
Sc Ir Ru
1 3 1
Cartesian
0.0000 0.0000 0.0000
0.0000 2.3466 2.3466
2.3466 0.0000 2.3466
2.3466 2.3466 0.0000
2.3466 2.3466 2.3466